Record 1
A relaxed structure of Ba4Nb14O23, computed with GGA-PBE.

Structure (POSCAR):
```
Ba4Nb14O23
1.0
0.129 -2.476 3.361
-9.707 -6.078 -4.104
1.863 -9.646 -7.176
Ba Nb O
4 14 23
direct
0.000 0.568 0.229
0.000 0.771 0.432
0.000 0.229 0.568
0.000 0.432 0.771
0.000 0.000 0.000
0.500 0.362 0.040
0.500 0.100 0.100
0.500 0.837 0.163
0.000 0.204 0.204
0.500 0.299 0.299
0.500 0.040 0.362
0.500 0.500 0.500
0.500 0.960 0.638
0.500 0.701 0.701
0.000 0.796 0.796
0.500 0.163 0.837
0.500 0.900 0.900
0.500 0.638 0.960
0.000 0.365 0.029
0.500 0.729 0.071
0.000 0.101 0.101
0.500 0.469 0.137
0.000 0.829 0.171
0.500 0.929 0.271
0.000 0.305 0.305
0.500 0.662 0.338
0.000 0.029 0.365
0.500 0.404 0.404
0.500 0.137 0.469
0.000 0.500 0.500
0.500 0.863 0.531
0.500 0.596 0.596
0.000 0.971 0.635
0.500 0.338 0.662
0.000 0.695 0.695
0.500 0.071 0.729
0.000 0.171 0.829
0.500 0.531 0.863
0.000 0.899 0.899
0.500 0.271 0.929
0.000 0.635 0.971
```

Uncorrected energy in eV/atom: -8.83

***

Record 2
A relaxed structure of Ba4Nb2O9, computed with GGA-PBE.

Structure (POSCAR):
```
Ba4Nb2O9
1.0
-4.174 -3.829 2.370
5.436 0.710 2.766
-6.051 12.043 8.800
Ba Nb O
8 4 18
direct
0.000 0.000 0.000
0.667 0.333 0.131
0.000 0.000 0.250
0.667 0.333 0.369
0.000 0.000 0.500
0.333 0.667 0.631
0.000 0.000 0.750
0.333 0.667 0.869
0.333 0.667 0.157
0.333 0.667 0.343
0.667 0.333 0.657
0.667 0.333 0.843
0.255 0.357 0.105
0.101 0.745 0.105
0.643 0.899 0.105
0.042 0.464 0.250
0.536 0.578 0.250
0.422 0.958 0.250
0.255 0.357 0.395
0.101 0.745 0.395
0.643 0.899 0.395
0.357 0.101 0.605
0.899 0.255 0.605
0.745 0.643 0.605
0.578 0.042 0.750
0.464 0.422 0.750
0.958 0.536 0.750
0.357 0.101 0.895
0.899 0.255 0.895
0.745 0.643 0.895
```

Uncorrected energy in eV/atom: -7.63

***

Record 3
A relaxed structure of BaNb2O6, computed with GGA-PBE.

Structure (POSCAR):
```
BaNb2O6
1.0
-2.172 0.812 4.850
-3.167 -0.937 -4.241
0.247 -5.511 1.033
Ba Nb O
1 2 6
direct
0.000 0.000 0.000
0.667 0.333 0.500
0.333 0.667 0.500
0.395 0.000 0.296
0.000 0.395 0.296
0.605 0.605 0.296
0.605 0.000 0.704
0.395 0.395 0.704
0.000 0.605 0.704
```

Uncorrected energy in eV/atom: -8.51

***

Record 4
A relaxed structure of Ba2Nb5O9, computed with GGA-PBE.

Structure (POSCAR):
```
Ba2Nb5O9
1.0
4.196 0.000 0.000
0.000 4.196 0.000
0.000 0.000 12.274
Ba Nb O
2 5 9
direct
0.000 0.000 0.332
0.000 0.000 0.668
0.500 0.000 0.000
0.000 0.500 0.000
0.500 0.500 0.163
0.500 0.500 0.500
0.500 0.500 0.837
0.000 0.000 0.000
0.500 0.000 0.173
0.000 0.500 0.173
0.500 0.500 0.338
0.500 0.000 0.500
0.000 0.500 0.500
0.500 0.500 0.662
0.500 0.000 0.827
0.000 0.500 0.827
```

Uncorrected energy in eV/atom: -8.66